(P)
{
  "formula": "BC2",
  "functional": "PBE",
  "state": "optimized geometry",
  "magnetic_moment_mub_per_atom": 0.000,
  "volume_a3_per_cell": 77,
  "lattice_angstrom": [[3.7354, 0.0000, 0.0000], [0.0000, 2.5722, 0.0000], [-0.1651, 0.0000, 8.0114]],
  "species": ["B", "B", "B", "B", "C", "C", "C", "C", "C", "C", "C", "C"],
  "fractional_positions": [[0.0000, 0.0000, 0.0000], [0.0313, 0.0000, 0.3720], [0.3248, 0.0000, 0.2122], [0.7034, 0.5000, 0.3567], [0.0070, 0.0000, 0.6971], [0.2622, 0.0000, 0.5416], [0.2746, 0.0000, 0.8514], [0.4974, 0.5000, 0.5422], [0.5135, 0.5000, 0.8520], [0.5156, 0.5000, 0.1651], [0.7515, 0.5000, 0.0165], [0.7656, 0.5000, 0.6939]]
}

(Q)
{
  "formula": "BC2",
  "functional": "PBE",
  "state": "optimized geometry",
  "magnetic_moment_mub_per_atom": 0.000,
  "volume_a3_per_cell": 76,
  "lattice_angstrom": [[2.4727, 0.0000, 0.0000], [0.0000, 2.5159, 0.0000], [0.0000, 0.0000, 12.2699]],
  "species": ["B", "B", "B", "B", "C", "C", "C", "C", "C", "C", "C", "C"],
  "fractional_positions": [[0.0000, 0.0000, 0.0000], [0.0000, 0.0000, 0.3868], [0.5000, 0.0000, 0.2773], [0.5000, 0.5000, 0.1693], [0.0000, 0.0000, 0.6895], [0.0000, 0.5000, 0.0808], [0.0000, 0.5000, 0.4703], [0.0000, 0.5000, 0.7620], [0.5000, 0.0000, 0.6164], [0.5000, 0.0000, 0.9074], [0.5000, 0.5000, 0.5420], [0.5000, 0.5000, 0.8377]]
}

The winner here is (Q), beating the second structure by 6.2 kJ/mol of atoms.

(P)
{
  "formula": "CdPCl2",
  "functional": "PBE",
  "state": "optimized geometry",
  "magnetic_moment_mub_per_atom": 0.051,
  "volume_a3_per_cell": 122,
  "lattice_angstrom": [[4.2385, 0.0000, 0.0000], [0.0000, 4.6539, 0.0000], [-1.6063, 0.0000, 6.1777]],
  "species": ["Cd", "P", "Cl", "Cl"],
  "fractional_positions": [[0.0000, 0.0000, 0.0000], [0.0563, 0.5000, 0.1801], [0.4033, 0.0000, 0.7582], [0.7223, 0.5000, 0.3661]]
}

(Q)
{
  "formula": "CdPCl2",
  "functional": "PBE",
  "state": "optimized geometry",
  "magnetic_moment_mub_per_atom": 0.000,
  "volume_a3_per_cell": 86,
  "lattice_angstrom": [[1.6113, 0.9303, 9.5070], [-1.6113, 0.9303, 9.5070], [0.0000, -1.8606, 9.5070]],
  "species": ["Cd", "P", "Cl", "Cl"],
  "fractional_positions": [[0.0000, 0.0000, 0.0000], [0.5000, 0.5000, 0.5000], [0.0966, 0.0966, 0.0966], [0.9034, 0.9034, 0.9034]]
}

The winner here is (P), beating the second structure by 56.4 kJ/mol of atoms.